(1)
# Cr3BiRh

A relaxed Cr3BiRh crystal (PBE-GGA, Alexandria).

Values from the calculation:
E above lowest polymorph = 4.171 eV/f.u.
space-group type = Pm-3m (221)
energy of formation from the pure elements = 1808 meV per atom

Unit cell a=5.140 b=5.140 c=5.140 alpha=90.00 beta=90.00 gamma=90.00
Fractional positions:
1 Cr 0.000 0.000 0.500
2 Cr 0.000 0.500 0.000
3 Cr 0.500 0.000 0.000
4 Bi 0.000 0.000 0.000
5 Rh 0.500 0.500 0.500

=====

(2)
# LaIn4Rh

A relaxed LaIn4Rh crystal (PBE-GGA, Alexandria).

Values from the calculation:
space-group type = F-43m (216)
energy of formation from the pure elements = 32 meV per atom

Unit cell a=5.953 b=5.953 c=5.953 alpha=60.00 beta=60.00 gamma=60.00
Fractional positions:
1 La 0.000 0.000 0.000
2 In 0.375 0.375 0.375
3 In 0.375 0.375 0.874
4 In 0.375 0.874 0.375
5 In 0.874 0.375 0.375
6 Rh 0.750 0.750 0.750

=====

(3)
# NaLa2CeTe4

A relaxed NaLa2CeTe4 crystal (PBE-GGA, Alexandria).

Values from the calculation:
space-group type = P2/m (10)
E_form (uncorrected) = -1437 meV/atom

Unit cell a=7.887 b=4.549 c=7.936 alpha=90.00 beta=109.34 gamma=90.00
Fractional positions:
1 Na 0.000 0.000 0.000
2 La 0.500 0.000 0.500
3 La 0.500 0.500 0.000
4 Ce 0.000 0.500 0.500
5 Te 0.245 0.000 0.750
6 Te 0.246 0.500 0.249
7 Te 0.754 0.500 0.751
8 Te 0.755 0.000 0.250

=====

(4)
# NpGa4

A relaxed NpGa4 crystal (PBE-GGA, Alexandria).

Values from the calculation:
E above lowest polymorph = 5.971 eV/f.u.
space-group type = Pm-3m (221)
energy of formation from the pure elements = 1035 meV per atom

Unit cell a=5.561 b=5.561 c=5.561 alpha=90.00 beta=90.00 gamma=90.00
Fractional positions:
1 Np 0.000 0.000 0.000
2 Ga 0.000 0.000 0.500
3 Ga 0.000 0.500 0.000
4 Ga 0.500 0.000 0.000
5 Ga 0.500 0.500 0.500

=====

(5)
# Sc2PtPb

A relaxed Sc2PtPb crystal (PBE-GGA, Alexandria).

Values from the calculation:
space-group type = I-4m2 (119)
energy of formation from the pure elements = -621 meV per atom

Unit cell a=5.695 b=5.695 c=5.695 alpha=137.56 beta=137.56 gamma=61.57
Fractional positions:
1 Sc 0.000 0.000 0.000
2 Sc 0.750 0.250 0.500
3 Pt 0.500 0.500 0.000
4 Pb 0.250 0.750 0.500

=====

(6)
# Pu2HfZn

A relaxed Pu2HfZn crystal (PBE-GGA, Alexandria).

Values from the calculation:
E above lowest polymorph = 0.445 eV/f.u.
space-group type = P4/mmm (123)
energy of formation from the pure elements = 174 meV per atom

Unit cell a=3.881 b=3.881 c=6.153 alpha=90.00 beta=90.00 gamma=90.00
Fractional positions:
1 Pu 0.000 0.000 0.238
2 Pu 0.000 0.000 0.762
3 Hf 0.500 0.500 0.500
4 Zn 0.500 0.500 0.000

=====

Number 1: spin magnetization 2.40 μB/atom. Number 2: spin magnetization 0.00 μB/atom. Number 3: spin magnetization 0.17 μB/atom. Number 4: spin magnetization 1.22 μB/atom. Number 5: spin magnetization 0.00 μB/atom. Number 6: spin magnetization 3.12 μB/atom.